(1)
YCd2Hg4 PBE optimized geometry; crystal system = tetragonal; excess energy over the best structure of this formula in the dataset = 0.35 eV per formula unit
1.0
8.6840 0.0000 0.0000
4.3420 4.6712 0.0000
4.3420 0.0000 4.6712
Y Cd Hg
1 2 4
Cartesian
0.0000 0.0000 0.0000
4.3420 2.3356 2.3356
8.6840 2.3356 2.3356
10.8550 2.3356 4.6678
6.5130 4.6678 2.3356
6.5130 0.0034 2.3356
10.8551 2.3356 0.0034

(2)
YCd2Hg6 PBE optimized geometry; crystal system = monoclinic; excess energy over the best structure of this formula in the dataset = 0.00 eV per formula unit
1.0
-2.4767 -4.3116 0.0284
3.3097 -4.8328 -2.3288
4.4067 -3.9504 5.9301
Y Cd Hg
1 2 6
Cartesian
2.2034 -1.9752 2.9650
5.1472 -9.4501 2.8997
0.0926 -3.6447 0.7300
3.1058 -5.5048 -0.9860
0.2951 -6.5649 -0.1250
2.1339 -7.5900 4.6158
4.9447 -6.5299 3.7547
2.5420 -5.0423 2.1705
2.6977 -8.0525 1.4592